w) The following is a DFT calculation (PBE) of an optimized crystal structure of NdTmAlGa.

Results
As for the space-group type: No. 38. As for the volume: 204 Å³ per cell.

CIF file:
```
data_NdTmAlGa
_cell_length_a 4.126
_cell_length_b 4.437
_cell_length_c 11.136
_cell_angle_alpha 90.00
_cell_angle_beta 90.00
_cell_angle_gamma 90.00
_space_group_name_H-M_alt 'P 1'
_space_group_IT_number 1
loop_
_space_group_symop_operation_xyz
'x,y,z'
loop_
_atom_site_label
_atom_site_fract_x
_atom_site_fract_y
_atom_site_fract_z
_atom_site_occupancy
Nd1 0.000 0.000 0.000 1
Nd2 0.000 0.500 0.500 1
Tm1 0.500 0.000 0.719 1
Tm2 0.500 0.500 0.219 1
Al1 0.000 0.000 0.286 1
Al2 0.000 0.500 0.786 1
Ga1 0.500 0.000 0.431 1
Ga2 0.500 0.500 0.931 1
```

x) The following is a DFT calculation (PBE) of an optimized crystal structure of NdTmAlGa.

Results
As for the space-group type: No. 216. As for the volume: 383 Å³ per cell.

CIF file:
```
data_NdTmAlGa
_cell_length_a 7.260
_cell_length_b 7.260
_cell_length_c 7.260
_cell_angle_alpha 90.00
_cell_angle_beta 90.00
_cell_angle_gamma 90.00
_space_group_name_H-M_alt 'P 1'
_space_group_IT_number 1
loop_
_space_group_symop_operation_xyz
'x,y,z'
loop_
_atom_site_label
_atom_site_fract_x
_atom_site_fract_y
_atom_site_fract_z
_atom_site_occupancy
Nd1 0.000 0.000 0.000 1
Nd2 0.000 0.500 0.500 1
Nd3 0.500 0.000 0.500 1
Nd4 0.500 0.500 0.000 1
Tm1 0.000 0.000 0.500 1
Tm2 0.000 0.500 0.000 1
Tm3 0.500 0.000 0.000 1
Tm4 0.500 0.500 0.500 1
Al1 0.250 0.250 0.750 1
Al2 0.250 0.750 0.250 1
Al3 0.750 0.250 0.250 1
Al4 0.750 0.750 0.750 1
Ga1 0.250 0.250 0.250 1
Ga2 0.250 0.750 0.750 1
Ga3 0.750 0.250 0.750 1
Ga4 0.750 0.750 0.250 1
```

w) ends up most stable, edging out the next structure by 29 meV/atom.

w) The following is a DFT calculation (PBE) of an optimized crystal structure of NdYAlGa.

Results
As for the space-group type: No. 38. As for the volume: 208 Å³ per cell.

CIF file:
```
data_NdYAlGa
_cell_length_a 4.146
_cell_length_b 4.466
_cell_length_c 11.244
_cell_angle_alpha 90.00
_cell_angle_beta 90.00
_cell_angle_gamma 90.00
_space_group_name_H-M_alt 'P 1'
_space_group_IT_number 1
loop_
_space_group_symop_operation_xyz
'x,y,z'
loop_
_atom_site_label
_atom_site_fract_x
_atom_site_fract_y
_atom_site_fract_z
_atom_site_occupancy
Nd1 0.000 0.000 0.000 1
Nd2 0.000 0.500 0.500 1
Y1 0.500 0.000 0.281 1
Y2 0.500 0.500 0.781 1
Al1 0.000 0.000 0.713 1
Al2 0.000 0.500 0.213 1
Ga1 0.500 0.000 0.569 1
Ga2 0.500 0.500 0.069 1
```

x) The following is a DFT calculation (PBE) of an optimized crystal structure of NdYAlGa.

Results
As for the space-group type: No. 216. As for the volume: 391 Å³ per cell.

CIF file:
```
data_NdYAlGa
_cell_length_a 7.311
_cell_length_b 7.311
_cell_length_c 7.311
_cell_angle_alpha 90.00
_cell_angle_beta 90.00
_cell_angle_gamma 90.00
_space_group_name_H-M_alt 'P 1'
_space_group_IT_number 1
loop_
_space_group_symop_operation_xyz
'x,y,z'
loop_
_atom_site_label
_atom_site_fract_x
_atom_site_fract_y
_atom_site_fract_z
_atom_site_occupancy
Nd1 0.000 0.000 0.000 1
Nd2 0.000 0.500 0.500 1
Nd3 0.500 0.000 0.500 1
Nd4 0.500 0.500 0.000 1
Y1 0.000 0.000 0.500 1
Y2 0.000 0.500 0.000 1
Y3 0.500 0.000 0.000 1
Y4 0.500 0.500 0.500 1
Al1 0.250 0.250 0.750 1
Al2 0.250 0.750 0.250 1
Al3 0.750 0.250 0.250 1
Al4 0.750 0.750 0.750 1
Ga1 0.250 0.250 0.250 1
Ga2 0.250 0.750 0.750 1
Ga3 0.750 0.250 0.750 1
Ga4 0.750 0.750 0.250 1
```

w) ends up most stable, edging out the next structure by 35 meV/atom.

w) The following is a DFT calculation (PBE) of an optimized crystal structure of AlGa2Ni2.

Results
As for the space-group type: No. 127. As for the volume: 137 Å³ per cell.

CIF file:
```
data_AlGa2Ni2
_cell_length_a 6.455
_cell_length_b 6.455
_cell_length_c 3.287
_cell_angle_alpha 90.00
_cell_angle_beta 90.00
_cell_angle_gamma 90.00
_space_group_name_H-M_alt 'P 1'
_space_group_IT_number 1
loop_
_space_group_symop_operation_xyz
'x,y,z'
loop_
_atom_site_label
_atom_site_fract_x
_atom_site_fract_y
_atom_site_fract_z
_atom_site_occupancy
Al1 0.000 0.000 0.000 1
Al2 0.500 0.500 0.000 1
Ga1 0.154 0.346 0.500 1
Ga2 0.346 0.846 0.500 1
Ga3 0.654 0.154 0.500 1
Ga4 0.846 0.654 0.500 1
Ni1 0.146 0.646 0.000 1
Ni2 0.354 0.146 0.000 1
Ni3 0.646 0.854 0.000 1
Ni4 0.854 0.354 0.000 1
```

x) The following is a DFT calculation (PBE) of an optimized crystal structure of AlGa2Ni2.

Results
As for the space-group type: No. 164. As for the volume: 70 Å³ per cell.

CIF file:
```
data_AlGa2Ni2
_cell_length_a 4.074
_cell_length_b 4.074
_cell_length_c 4.868
_cell_angle_alpha 90.00
_cell_angle_beta 90.00
_cell_angle_gamma 120.00
_space_group_name_H-M_alt 'P 1'
_space_group_IT_number 1
loop_
_space_group_symop_operation_xyz
'x,y,z'
loop_
_atom_site_label
_atom_site_fract_x
_atom_site_fract_y
_atom_site_fract_z
_atom_site_occupancy
Al1 0.000 0.000 0.000 1
Ga1 0.333 0.667 0.642 1
Ga2 0.667 0.333 0.358 1
Ni1 0.333 0.667 0.141 1
Ni2 0.667 0.333 0.859 1
```

x) ends up most stable, edging out the next structure by 193 meV/atom.

w) The following is a DFT calculation (PBE) of an optimized crystal structure of AlGa2Ni8.

Results
As for the space-group type: No. 12. As for the volume: 134 Å³ per cell.

CIF file:
```
data_AlGa2Ni8
_cell_length_a 6.450
_cell_length_b 6.450
_cell_length_c 4.197
_cell_angle_alpha 102.93
_cell_angle_beta 102.93
_cell_angle_gamma 120.60
_space_group_name_H-M_alt 'P 1'
_space_group_IT_number 1
loop_
_space_group_symop_operation_xyz
'x,y,z'
loop_
_atom_site_label
_atom_site_fract_x
_atom_site_fract_y
_atom_site_fract_z
_atom_site_occupancy
Al1 0.000 0.000 0.000 1
Ga1 0.305 0.695 0.500 1
Ga2 0.695 0.305 0.500 1
Ni1 0.101 0.320 0.634 1
Ni2 0.210 0.790 0.000 1
Ni3 0.320 0.101 0.634 1
Ni4 0.404 0.404 0.191 1
Ni5 0.596 0.596 0.809 1
Ni6 0.680 0.899 0.366 1
Ni7 0.790 0.210 0.000 1
Ni8 0.899 0.680 0.366 1
```

x) The following is a DFT calculation (PBE) of an optimized crystal structure of AlGa2Ni8.

Results
As for the space-group type: No. 71. As for the volume: 133 Å³ per cell.

CIF file:
```
data_AlGa2Ni8
_cell_length_a 6.663
_cell_length_b 6.663
_cell_length_c 6.663
_cell_angle_alpha 148.52
_cell_angle_beta 119.10
_cell_angle_gamma 70.17
_space_group_name_H-M_alt 'P 1'
_space_group_IT_number 1
loop_
_space_group_symop_operation_xyz
'x,y,z'
loop_
_atom_site_label
_atom_site_fract_x
_atom_site_fract_y
_atom_site_fract_z
_atom_site_occupancy
Al1 0.000 0.000 0.000 1
Ga1 0.331 0.331 0.000 1
Ga2 0.669 0.669 0.000 1
Ni1 0.091 0.835 0.256 1
Ni2 0.162 0.662 0.500 1
Ni3 0.262 0.500 0.762 1
Ni4 0.421 0.165 0.256 1
Ni5 0.579 0.835 0.744 1
Ni6 0.738 0.500 0.238 1
Ni7 0.838 0.338 0.500 1
Ni8 0.909 0.165 0.744 1
```

x) ends up most stable, edging out the next structure by 108 meV/atom.

w) The following is a DFT calculation (PBE) of an optimized crystal structure of Al6Ga2Ni.

Results
As for the space-group type: No. 12. As for the volume: 159 Å³ per cell.

CIF file:
```
data_Al6Ga2Ni
_cell_length_a 7.206
_cell_length_b 7.206
_cell_length_c 4.171
_cell_angle_alpha 105.47
_cell_angle_beta 105.47
_cell_angle_gamma 50.12
_space_group_name_H-M_alt 'P 1'
_space_group_IT_number 1
loop_
_space_group_symop_operation_xyz
'x,y,z'
loop_
_atom_site_label
_atom_site_fract_x
_atom_site_fract_y
_atom_site_fract_z
_atom_site_occupancy
Al1 0.080 0.608 0.355 1
Al2 0.222 0.778 0.000 1
Al3 0.392 0.920 0.645 1
Al4 0.608 0.080 0.355 1
Al5 0.778 0.222 0.000 1
Al6 0.920 0.392 0.645 1
Ga1 0.334 0.334 0.846 1
Ga2 0.666 0.666 0.154 1
Ni1 0.000 0.000 0.500 1
```

x) The following is a DFT calculation (PBE) of an optimized crystal structure of Al6Ga2Ni.

Results
As for the space-group type: No. 189. As for the volume: 146 Å³ per cell.

CIF file:
```
data_Al6Ga2Ni
_cell_length_a 6.799
_cell_length_b 6.799
_cell_length_c 3.643
_cell_angle_alpha 90.00
_cell_angle_beta 90.00
_cell_angle_gamma 120.00
_space_group_name_H-M_alt 'P 1'
_space_group_IT_number 1
loop_
_space_group_symop_operation_xyz
'x,y,z'
loop_
_atom_site_label
_atom_site_fract_x
_atom_site_fract_y
_atom_site_fract_z
_atom_site_occupancy
Al1 0.000 0.248 0.000 1
Al2 0.000 0.630 0.500 1
Al3 0.248 0.000 0.000 1
Al4 0.370 0.370 0.500 1
Al5 0.630 0.000 0.500 1
Al6 0.752 0.752 0.000 1
Ga1 0.333 0.667 0.000 1
Ga2 0.667 0.333 0.000 1
Ni1 0.000 0.000 0.500 1
```

x) ends up most stable, edging out the next structure by 22 meV/atom.

w) The following is a DFT calculation (PBE) of an optimized crystal structure of Al2GaNi6.

Results
As for the space-group type: No. 12. As for the volume: 123 Å³ per cell.

CIF file:
```
data_Al2GaNi6
_cell_length_a 6.677
_cell_length_b 6.677
_cell_length_c 3.882
_cell_angle_alpha 106.80
_cell_angle_beta 106.80
_cell_angle_gamma 48.42
_space_group_name_H-M_alt 'P 1'
_space_group_IT_number 1
loop_
_space_group_symop_operation_xyz
'x,y,z'
loop_
_atom_site_label
_atom_site_fract_x
_atom_site_fract_y
_atom_site_fract_z
_atom_site_occupancy
Al1 0.167 0.167 0.168 1
Al2 0.833 0.833 0.832 1
Ga1 0.500 0.500 0.500 1
Ni1 0.081 0.585 0.333 1
Ni2 0.250 0.750 0.000 1
Ni3 0.415 0.919 0.667 1
Ni4 0.585 0.081 0.333 1
Ni5 0.750 0.250 0.000 1
Ni6 0.919 0.415 0.667 1
```

x) The following is a DFT calculation (PBE) of an optimized crystal structure of Al2GaNi6.

Results
As for the space-group type: No. 164. As for the volume: 105 Å³ per cell.

CIF file:
```
data_Al2GaNi6
_cell_length_a 4.044
_cell_length_b 4.044
_cell_length_c 7.434
_cell_angle_alpha 90.00
_cell_angle_beta 90.00
_cell_angle_gamma 120.00
_space_group_name_H-M_alt 'P 1'
_space_group_IT_number 1
loop_
_space_group_symop_operation_xyz
'x,y,z'
loop_
_atom_site_label
_atom_site_fract_x
_atom_site_fract_y
_atom_site_fract_z
_atom_site_occupancy
Al1 0.333 0.667 0.238 1
Al2 0.667 0.333 0.762 1
Ga1 0.000 0.000 0.000 1
Ni1 0.000 0.000 0.331 1
Ni2 0.000 0.000 0.669 1
Ni3 0.333 0.667 0.557 1
Ni4 0.333 0.667 0.896 1
Ni5 0.667 0.333 0.104 1
Ni6 0.667 0.333 0.443 1
```

x) ends up most stable, edging out the next structure by 305 meV/atom.